No. 1
# Nd4Ag2Rh (PBE, optimized geometry)
data_Nd4Ag2Rh
_chemical_formula_sum 'Nd8 Ag4 Rh2'
_space_group_name_H-M_alt 'P 1 21/m 1'
_space_group_IT_number 11
_space_group_name_Hall '-P 2yb'
_cell_length_a 6.012
_cell_length_b 6.521
_cell_length_c 10.203
_cell_angle_alpha 90.00
_cell_angle_beta 103.26
_cell_angle_gamma 90.00
loop_
_atom_site_label
_atom_site_type_symbol
_atom_site_fract_x
_atom_site_fract_y
_atom_site_fract_z
Nd1 Nd 0.157 0.250 0.098
Nd2 Nd 0.272 0.007 0.748
Nd3 Nd 0.293 0.750 0.431
Ag1 Ag 0.162 0.250 0.441
Ag2 Ag 0.390 0.750 0.014
Rh1 Rh 0.075 0.750 0.174
# distance to the lowest polymorph of the same formula = 0 meV/atom
# total energy = -67.632 eV for the cell shown
# total magnetic moment = 0.000 μB per atom
# ΔE_f = -0.2415 eV/atom
# volume = 389.3 Å³/cell

No. 2
# Nd6AgRh2 (PBE, optimized geometry)
data_Nd6AgRh2
_chemical_formula_sum 'Nd12 Ag2 Rh4'
_space_group_name_H-M_alt 'C 1 2/m 1'
_space_group_IT_number 12
_space_group_name_Hall '-C 2y'
_cell_length_a 10.302
_cell_length_b 5.235
_cell_length_c 9.199
_cell_angle_alpha 90.00
_cell_angle_beta 99.54
_cell_angle_gamma 90.00
loop_
_atom_site_label
_atom_site_type_symbol
_atom_site_fract_x
_atom_site_fract_y
_atom_site_fract_z
Nd1 Nd 0.039 0.000 0.340
Nd2 Nd 0.155 0.500 0.896
Nd3 Nd 0.212 0.500 0.334
Ag1 Ag 0.000 0.000 0.000
Rh1 Rh 0.120 0.500 0.603
# distance to the lowest polymorph of the same formula = 74 meV/atom
# total energy = -98.347 eV for the cell shown
# total magnetic moment = 0.000 μB per atom
# ΔE_f = -0.3347 eV/atom
# volume = 489.2 Å³/cell

No. 3
# Nd7Ag2Rh2 (PBE, optimized geometry)
data_Nd7Ag2Rh2
_chemical_formula_sum 'Nd14 Ag4 Rh4'
_space_group_name_H-M_alt 'C m m m'
_space_group_IT_number 65
_space_group_name_Hall '-C 2 2'
_cell_length_a 8.039
_cell_length_b 11.325
_cell_length_c 7.268
_cell_angle_alpha 90.00
_cell_angle_beta 90.00
_cell_angle_gamma 90.00
loop_
_atom_site_label
_atom_site_type_symbol
_atom_site_fract_x
_atom_site_fract_y
_atom_site_fract_z
Nd1 Nd 0.000 0.000 0.000
Nd2 Nd 0.000 0.500 0.250
Nd3 Nd 0.250 0.250 0.258
Ag1 Ag 0.174 0.000 0.500
Rh1 Rh 0.000 0.293 0.000
# total energy = -113.234 eV for the cell shown
# total magnetic moment = 0.000 μB per atom
# ΔE_f = -0.2579 eV/atom
# volume = 661.7 Å³/cell

No. 4
# Nd4Ag3Rh (PBE, optimized geometry)
data_Nd4Ag3Rh
_chemical_formula_sum 'Nd4 Ag3 Rh1'
_space_group_name_H-M_alt 'P 4/m m m'
_space_group_IT_number 123
_space_group_name_Hall '-P 4 2'
_cell_length_a 3.668
_cell_length_b 3.668
_cell_length_c 15.049
_cell_angle_alpha 90.00
_cell_angle_beta 90.00
_cell_angle_gamma 90.00
loop_
_atom_site_label
_atom_site_type_symbol
_atom_site_fract_x
_atom_site_fract_y
_atom_site_fract_z
Nd1 Nd 0.000 0.000 0.111
Nd2 Nd 0.000 0.000 0.370
Ag1 Ag 0.500 0.500 0.244
Ag2 Ag 0.500 0.500 0.500
Rh1 Rh 0.500 0.500 0.000
# total energy = -37.833 eV for the cell shown
# total magnetic moment = 0.000 μB per atom
# ΔE_f = -0.3571 eV/atom
# volume = 202.5 Å³/cell

No. 5
# Nd11Ag9Rh4 (PBE, optimized geometry)
data_Nd11Ag9Rh4
_chemical_formula_sum 'Nd22 Ag18 Rh8'
_space_group_name_H-M_alt 'C m m m'
_space_group_IT_number 65
_space_group_name_Hall '-C 2 2'
_cell_length_a 14.502
_cell_length_b 21.732
_cell_length_c 3.774
_cell_angle_alpha 90.00
_cell_angle_beta 90.00
_cell_angle_gamma 90.00
loop_
_atom_site_label
_atom_site_type_symbol
_atom_site_fract_x
_atom_site_fract_y
_atom_site_fract_z
Nd1 Nd 0.000 0.000 0.000
Nd2 Nd 0.000 0.167 0.000
Nd3 Nd 0.000 0.367 0.000
Nd4 Nd 0.201 0.500 0.000
Nd5 Nd 0.247 0.168 0.000
Ag1 Ag 0.000 0.500 0.500
Ag2 Ag 0.106 0.262 0.500
Ag3 Ag 0.140 0.073 0.500
Rh1 Rh 0.147 0.403 0.500
# total energy = -234.668 eV for the cell shown
# total magnetic moment = 0.000 μB per atom
# ΔE_f = -0.4092 eV/atom
# volume = 1189.3 Å³/cell

No. 6
# Nd2AgSb3Rh4 (PBE, optimized geometry)
data_Nd2AgSb3Rh4
_chemical_formula_sum 'Nd2 Ag1 Sb3 Rh4'
_space_group_name_H-M_alt 'P -4 m 2'
_space_group_IT_number 115
_space_group_name_Hall 'P -4 -2'
_cell_length_a 4.351
_cell_length_b 4.351
_cell_length_c 11.175
_cell_angle_alpha 90.00
_cell_angle_beta 90.00
_cell_angle_gamma 90.00
loop_
_atom_site_label
_atom_site_type_symbol
_atom_site_fract_x
_atom_site_fract_y
_atom_site_fract_z
Nd1 Nd 0.000 0.500 0.241
Ag1 Ag 0.500 0.500 0.000
Sb1 Sb 0.000 0.000 0.000
Sb2 Sb 0.000 0.500 0.633
Rh1 Rh 0.000 0.000 0.500
Rh2 Rh 0.000 0.500 0.859
Rh3 Rh 0.500 0.500 0.500
# total energy = -61.148 eV for the cell shown
# total magnetic moment = 0.000 μB per atom
# raw formation energy = -6.99 eV/f.u.
# volume = 211.6 Å³/cell

No. 7
# NdSmAgRh (PBE, optimized geometry)
data_NdSmAgRh
_chemical_formula_sum 'Nd4 Sm4 Ag4 Rh4'
_space_group_name_H-M_alt 'F -4 3 m'
_space_group_IT_number 216
_space_group_name_Hall 'F -4 2 3'
_cell_length_a 7.241
_cell_length_b 7.241
_cell_length_c 7.241
_cell_angle_alpha 90.00
_cell_angle_beta 90.00
_cell_angle_gamma 90.00
loop_
_atom_site_label
_atom_site_type_symbol
_atom_site_fract_x
_atom_site_fract_y
_atom_site_fract_z
Nd1 Nd 0.000 0.000 0.000
Sm1 Sm 0.000 0.000 0.500
Ag1 Ag 0.250 0.250 0.750
Rh1 Rh 0.250 0.250 0.250
# total energy = -86.111 eV for the cell shown
# total magnetic moment = 0.000 μB per atom
# ΔE_f = -0.4595 eV/atom
# volume = 379.6 Å³/cell

No. 8
# Nd2AgSn4Rh3 (PBE, optimized geometry)
data_Nd2AgSn4Rh3
_chemical_formula_sum 'Nd2 Ag1 Sn4 Rh3'
_space_group_name_H-M_alt 'P -4 m 2'
_space_group_IT_number 115
_space_group_name_Hall 'P -4 -2'
_cell_length_a 4.532
_cell_length_b 4.532
_cell_length_c 10.902
_cell_angle_alpha 90.00
_cell_angle_beta 90.00
_cell_angle_gamma 90.00
loop_
_atom_site_label
_atom_site_type_symbol
_atom_site_fract_x
_atom_site_fract_y
_atom_site_fract_z
Nd1 Nd 0.000 0.500 0.243
Ag1 Ag 0.000 0.000 0.500
Sn1 Sn 0.000 0.000 0.000
Sn2 Sn 0.000 0.500 0.637
Sn3 Sn 0.500 0.500 0.000
Rh1 Rh 0.000 0.500 0.872
Rh2 Rh 0.500 0.500 0.500
# total energy = -56.584 eV for the cell shown
# total magnetic moment = 0.000 μB per atom
# ΔE_f = -0.6131 eV/atom
# volume = 223.9 Å³/cell

Which formula does entry 5 have?
Nd11Ag9Rh4

What is the total energy in the eighth record?
-56.584 eV for the cell shown

total magnetic moment of number 8 (Nd2AgSn4Rh3)?
0.000 μB per atom